# 1
Below is CdCuCl2 after structural relaxation, with properties calculated at the PBE-GGA level.

abc: 7.2152 3.3046 8.1605
angles: 90.00 106.05 90.00
Element x y z (fractional)
Cd: 0.0000 0.0000 0.0000
Cd: 0.5000 0.5000 0.0000
Cu: 0.0000 0.5000 0.5000
Cu: 0.5000 0.0000 0.5000
Cl: 0.1624 0.0000 0.6883
Cl: 0.3376 0.5000 0.3117
Cl: 0.6624 0.5000 0.6883
Cl: 0.8376 0.0000 0.3117

Output
SG = C2/m (12)
Volume = 23.37 Å³ per atom
Energy relative to the lowest polymorph listed for this composition = 0.111 eV/atom
Raw formation energy = -35.1 kJ/mol of atoms
Energy = -2.5404 eV/atom
Crystal system = monoclinic
Theoretical density = 4.385 g/cm3
DOS(E_F) = 5.928 states/eV/cell

=====

# 2
Below is CdCuCl6 after structural relaxation, with properties calculated at the PBE-GGA level.

abc: 6.0018 6.3644 6.3778
angles: 107.51 117.55 90.51
Element x y z (fractional)
Cd: 0.0000 0.0000 0.0000
Cu: 0.5000 0.5000 0.0000
Cl: 0.2393 0.7054 0.8124
Cl: 0.2468 0.0173 0.4651
Cl: 0.2687 0.4151 0.1542
Cl: 0.7313 0.5849 0.8458
Cl: 0.7532 0.9827 0.5349
Cl: 0.7607 0.2946 0.1876

Output
SG = P-1 (2)
Volume = 25.35 Å³ per atom
Raw formation energy = -39.9 kJ/mol of atoms
Energy = -2.4249 eV/atom
Crystal system = triclinic
Theoretical density = 3.183 g/cm3
DOS(E_F) = 5.066 states/eV/cell